[1]
DFT (GGA-PBE) results for a geometry-optimized ZrNb2SCl structure.

- SG = No. 123
- M_tot (μB/f.u.) = 0.00

a b c (Å): 4.4200 5.5744 4.4200
angles (deg): 90.00 90.00 90.00
Positions (direct):
Nb: 0.0000 0.0000 0.5000
Nb: 0.5000 0.0000 0.0000
S: 0.0000 0.5000 0.0000
Zr: 0.5000 0.5000 0.5000
Cl: 0.0000 0.0000 0.0000



[2]
DFT (GGA-PBE) results for a geometry-optimized RbCoBr4 structure.

- SG = No. 15
- relative energy among the computed polymorphs (kJ per mole of atoms) = 7.87
- M_tot (μB/f.u.) = 0.01

a b c (Å): 6.4837 6.5760 9.2993
angles (deg): 110.28 110.40 90.00
Positions (direct):
Rb: 0.7934 0.7500 0.0000
Rb: 0.2066 0.2500 0.0000
Co: 0.5000 0.0000 0.5000
Co: 0.0000 0.5000 0.5000
Br: 0.5700 0.1236 0.7922
Br: 0.7778 0.3764 0.2077
Br: 0.4300 0.8764 0.2078
Br: 0.2222 0.6236 0.7923
Br: 0.8538 0.8489 0.5707
Br: 0.2831 0.6510 0.4293
Br: 0.1462 0.1511 0.4293
Br: 0.7169 0.3490 0.5707



Number 1: ΔE_f (raw) 0.7160 eV per atom. Number 2: ΔE_f (raw) -0.6873 eV per atom.